Material: Li3Ta3Ga2O12
Method: DFT, PBE
State: optimized geometry

Unit cell a=9.966 b=9.966 c=9.966 alpha=109.47 beta=109.47 gamma=109.47
Sites, in units of the cell vectors:
Li1 0.125 0.750 0.875
Li2 0.125 0.875 0.250
Li3 0.250 0.125 0.875
Li4 0.250 0.625 0.375
Li5 0.375 0.250 0.625
Li6 0.375 0.625 0.750
Li7 0.625 0.375 0.250
Li8 0.625 0.750 0.375
Li9 0.750 0.375 0.625
Li10 0.750 0.875 0.125
Li11 0.875 0.125 0.750
Li12 0.875 0.250 0.125
Ta1 0.125 0.250 0.375
Ta2 0.125 0.375 0.750
Ta3 0.250 0.375 0.125
Ta4 0.250 0.875 0.625
Ta5 0.375 0.125 0.250
Ta6 0.375 0.750 0.125
Ta7 0.625 0.250 0.875
Ta8 0.625 0.875 0.750
Ta9 0.750 0.125 0.375
Ta10 0.750 0.625 0.875
Ta11 0.875 0.625 0.250
Ta12 0.875 0.750 0.625
Ga1 0.000 0.000 0.000
Ga2 0.000 0.000 0.500
Ga3 0.000 0.500 0.000
Ga4 0.000 0.500 0.500
Ga5 0.500 0.000 0.000
Ga6 0.500 0.000 0.500
Ga7 0.500 0.500 0.000
Ga8 0.500 0.500 0.500
O1 0.046 0.223 0.132
O2 0.046 0.323 0.914
O3 0.086 0.632 0.408
O4 0.086 0.954 0.677
O5 0.092 0.723 0.677
O6 0.092 0.868 0.414
O7 0.132 0.046 0.223
O8 0.132 0.586 0.908
O9 0.177 0.223 0.592
O10 0.177 0.454 0.586
O11 0.223 0.132 0.046
O12 0.223 0.592 0.177
O13 0.277 0.323 0.908
O14 0.277 0.454 0.368
O15 0.323 0.908 0.277
O16 0.323 0.914 0.046
O17 0.368 0.277 0.454
O18 0.368 0.592 0.914
O19 0.408 0.086 0.632
O20 0.408 0.823 0.777
O21 0.414 0.092 0.868
O22 0.414 0.823 0.546
O23 0.454 0.368 0.277
O24 0.454 0.586 0.177
O25 0.546 0.414 0.823
O26 0.546 0.632 0.723
O27 0.586 0.177 0.454
O28 0.586 0.908 0.132
O29 0.592 0.177 0.223
O30 0.592 0.914 0.368
O31 0.632 0.408 0.086
O32 0.632 0.723 0.546
O33 0.677 0.086 0.954
O34 0.677 0.092 0.723
O35 0.723 0.546 0.632
O36 0.723 0.677 0.092
O37 0.777 0.408 0.823
O38 0.777 0.868 0.954
O39 0.823 0.546 0.414
O40 0.823 0.777 0.408
O41 0.868 0.414 0.092
O42 0.868 0.954 0.777
O43 0.908 0.132 0.586
O44 0.908 0.277 0.323
O45 0.914 0.046 0.323
O46 0.914 0.368 0.592
O47 0.954 0.677 0.086
O48 0.954 0.777 0.868

Computed properties:
- SG: No. 230
- Raw total energy: -605.72 eV/cell
- Size of the total moment: 0.000 μB per atom



Material: Li3Ta2Ga3O12
Method: DFT, PBE
State: optimized geometry

Unit cell a=10.127 b=10.127 c=10.127 alpha=109.47 beta=109.47 gamma=109.47
Sites, in units of the cell vectors:
Li1 0.125 0.750 0.875
Li2 0.125 0.875 0.250
Li3 0.250 0.125 0.875
Li4 0.250 0.625 0.375
Li5 0.375 0.250 0.625
Li6 0.375 0.625 0.750
Li7 0.625 0.375 0.250
Li8 0.625 0.750 0.375
Li9 0.750 0.375 0.625
Li10 0.750 0.875 0.125
Li11 0.875 0.125 0.750
Li12 0.875 0.250 0.125
Ta1 0.000 0.000 0.000
Ta2 0.000 0.000 0.500
Ta3 0.000 0.500 0.000
Ta4 0.000 0.500 0.500
Ta5 0.500 0.000 0.000
Ta6 0.500 0.000 0.500
Ta7 0.500 0.500 0.000
Ta8 0.500 0.500 0.500
Ga1 0.125 0.250 0.375
Ga2 0.125 0.375 0.750
Ga3 0.250 0.375 0.125
Ga4 0.250 0.875 0.625
Ga5 0.375 0.125 0.250
Ga6 0.375 0.750 0.125
Ga7 0.625 0.250 0.875
Ga8 0.625 0.875 0.750
Ga9 0.750 0.125 0.375
Ga10 0.750 0.625 0.875
Ga11 0.875 0.625 0.250
Ga12 0.875 0.750 0.625
O1 0.045 0.225 0.120
O2 0.045 0.320 0.924
O3 0.076 0.620 0.395
O4 0.076 0.955 0.680
O5 0.105 0.725 0.680
O6 0.105 0.880 0.424
O7 0.120 0.045 0.225
O8 0.120 0.576 0.895
O9 0.180 0.225 0.605
O10 0.180 0.455 0.576
O11 0.225 0.120 0.045
O12 0.225 0.605 0.180
O13 0.275 0.320 0.895
O14 0.275 0.455 0.380
O15 0.320 0.895 0.275
O16 0.320 0.924 0.045
O17 0.380 0.275 0.455
O18 0.380 0.605 0.924
O19 0.395 0.076 0.620
O20 0.395 0.820 0.775
O21 0.424 0.105 0.880
O22 0.424 0.820 0.545
O23 0.455 0.380 0.275
O24 0.455 0.576 0.180
O25 0.545 0.424 0.820
O26 0.545 0.620 0.725
O27 0.576 0.180 0.455
O28 0.576 0.895 0.120
O29 0.605 0.180 0.225
O30 0.605 0.924 0.380
O31 0.620 0.395 0.076
O32 0.620 0.725 0.545
O33 0.680 0.076 0.955
O34 0.680 0.105 0.725
O35 0.725 0.545 0.620
O36 0.725 0.680 0.105
O37 0.775 0.395 0.820
O38 0.775 0.880 0.955
O39 0.820 0.545 0.424
O40 0.820 0.775 0.395
O41 0.880 0.424 0.105
O42 0.880 0.955 0.775
O43 0.895 0.120 0.576
O44 0.895 0.275 0.320
O45 0.924 0.045 0.320
O46 0.924 0.380 0.605
O47 0.955 0.680 0.076
O48 0.955 0.775 0.880

Computed properties:
- SG: No. 230
- Raw total energy: -529.96 eV/cell
- Size of the total moment: 0.100 μB per atom



Material: LiGaOs2
Method: DFT, PBE
State: optimized geometry

Unit cell a=4.254 b=4.254 c=4.254 alpha=60.00 beta=60.00 gamma=60.00
Sites, in units of the cell vectors:
Li1 0.000 0.000 0.000
Ga1 0.750 0.750 0.750
Os1 0.250 0.250 0.250
Os2 0.500 0.500 0.500

Computed properties:
- SG: No. 216
- Raw total energy: -27.25 eV/cell
- Size of the total moment: 0.000 μB per atom



Material: LiGaOsW
Method: DFT, PBE
State: optimized geometry

Unit cell a=4.268 b=4.268 c=4.268 alpha=60.00 beta=60.00 gamma=60.00
Sites, in units of the cell vectors:
Li1 0.000 0.000 0.000
Ga1 0.500 0.500 0.500
Os1 0.750 0.750 0.750
W1 0.250 0.250 0.250

Computed properties:
- SG: No. 216
- Size of the total moment: 0.079 μB per atom
- Distance to the lowest polymorph of the same formula: 2.59 eV per formula unit